Below is a relaxed Li5VP2O9 crystal, with properties calculated at the GGA+U level.

Unit cell a=9.358 b=9.358 c=7.938 alpha=90.00 beta=90.00 gamma=90.00
Space group I4/mcm (No. 140)
Inequivalent atoms, fractional coordinates:
1 Li 0.000 0.225 0.250 (multiplicity 16)
2 Li 0.000 0.500 0.250 (multiplicity 4)
3 V 0.000 0.000 0.000 (multiplicity 4)
4 P 0.207 0.293 0.000 (multiplicity 8)
5 O 0.000 0.000 0.250 (multiplicity 4)
6 O 0.128 0.181 0.500 (multiplicity 16)
7 O 0.140 0.360 0.160 (multiplicity 16)

Results
**DFT total energy**: -6.546 eV/atom